Record 1
The following is a DFT calculation (SCAN) of Mg2TlOs at its PBEsol-relaxed geometry.

abc: 5.4327 5.4327 5.4327
angles: 143.31 130.86 62.87
Sites, in units of the cell vectors:
Mg  0.2314  0.2314  0.0000
Mg  0.7686  0.7686  0.0000
Tl  0.5000  0.0000  0.5000
Os  0.0000  0.5000  0.5000

## Properties
**Fermi-level density of states**: 0.252 states/eV per atom
**Symmetry**: Immm, No. 71
**Energy relative to the elements**: 1.058 eV/f.u.
**Size of the total moment**: 0.0 μB/f.u.
**Offset from the most stable computed form**: 0.36 eV per formula unit
**Raw total energy**: -38.28 eV/atom

=====

Record 2
The following is a DFT calculation (SCAN) of Mg2TlOs at its PBEsol-relaxed geometry.

abc: 5.1548 5.1548 5.1548
angles: 133.87 133.87 67.29
Sites, in units of the cell vectors:
Mg  0.0000  0.0000  0.0000
Mg  0.7500  0.2500  0.5000
Tl  0.2500  0.7500  0.5000
Os  0.5000  0.5000  0.0000

## Properties
**Fermi-level density of states**: 0.326 states/eV per atom
**Symmetry**: I-4m2, No. 119
**Energy relative to the elements**: 0.700 eV/f.u.
**Size of the total moment**: 0.8 μB/f.u.
**Offset from the most stable computed form**: 0.00 eV per formula unit
**Raw total energy**: -38.37 eV/atom

=====

Record 3
The following is a DFT calculation (SCAN) of Mg2TlOs at its PBEsol-relaxed geometry.

abc: 3.4597 3.4597 6.0510
angles: 90.00 90.00 90.00
Sites, in units of the cell vectors:
Mg  0.0000  0.0000  0.0000
Mg  0.5000  0.5000  0.2722
Tl  0.5000  0.5000  0.7304
Os  0.0000  0.0000  0.4731

## Properties
**Fermi-level density of states**: 0.385 states/eV per atom
**Symmetry**: P4mm, No. 99
**Energy relative to the elements**: 1.130 eV/f.u.
**Size of the total moment**: 0.0 μB/f.u.
**Offset from the most stable computed form**: 0.43 eV per formula unit
**Raw total energy**: -38.26 eV/atom

=====

Record 4
The following is a DFT calculation (SCAN) of Mg2OsW at its PBEsol-relaxed geometry.

abc: 3.7577 3.7577 4.5074
angles: 90.00 90.00 90.00
Sites, in units of the cell vectors:
Mg  0.0000  0.5000  0.0000
Mg  0.5000  0.0000  0.0000
Os  0.0000  0.0000  0.5000
W  0.5000  0.5000  0.5000

## Properties
**Fermi-level density of states**: 0.552 states/eV per atom
**Symmetry**: P4/mmm, No. 123
**Energy relative to the elements**: 1.123 eV/f.u.
**Size of the total moment**: 0.0 μB/f.u.
**Offset from the most stable computed form**: 0.00 eV per formula unit
**Raw total energy**: -37.60 eV/atom

=====

Record 5
The following is a DFT calculation (SCAN) of Mg4OsW at its PBEsol-relaxed geometry.

abc: 5.1746 5.1746 5.1746
angles: 60.00 60.00 60.00
Sites, in units of the cell vectors:
Mg  0.1246  0.1246  0.1246
Mg  0.1246  0.1246  0.6261
Mg  0.1246  0.6261  0.1246
Mg  0.6261  0.1246  0.1246
Os  0.5000  0.5000  0.5000
W  0.7500  0.7500  0.7500

## Properties
**Fermi-level density of states**: 0.662 states/eV per atom
**Symmetry**: F-43m, No. 216
**Energy relative to the elements**: 5.034 eV/f.u.
**Size of the total moment**: 0.0 μB/f.u.
**Raw total energy**: -26.07 eV/atom

=====

Record 6
The following is a DFT calculation (SCAN) of Mg2OsW at its PBEsol-relaxed geometry.

abc: 4.6640 4.6640 5.2319
angles: 95.38 95.38 35.07
Sites, in units of the cell vectors:
Mg  0.0000  0.0000  0.0000
Mg  0.2411  0.2411  0.7590
Os  0.4991  0.4991  0.4764
W  0.7510  0.7510  0.2869

## Properties
**Fermi-level density of states**: 0.695 states/eV per atom
**Symmetry**: Cm, No. 8
**Energy relative to the elements**: 1.139 eV/f.u.
**Size of the total moment**: 0.0 μB/f.u.
**Offset from the most stable computed form**: 0.02 eV per formula unit
**Raw total energy**: -37.59 eV/atom

=====

Record 7
The following is a DFT calculation (SCAN) of Mg2OsW at its PBEsol-relaxed geometry.

abc: 2.6971 4.5867 5.2493
angles: 90.00 103.02 90.00
Sites, in units of the cell vectors:
Mg  0.2169  0.0000  0.2542
Mg  0.7831  0.0000  0.7458
Os  0.0000  0.5000  0.5000
W  0.5000  0.5000  0.0000

## Properties
**Fermi-level density of states**: 0.681 states/eV per atom
**Symmetry**: P2/m, No. 10
**Energy relative to the elements**: 1.176 eV/f.u.
**Size of the total moment**: 0.0 μB/f.u.
**Offset from the most stable computed form**: 0.05 eV per formula unit
**Raw total energy**: -37.58 eV/atom

=====

Record 8
The following is a DFT calculation (SCAN) of MgZnOs2W at its PBEsol-relaxed geometry.

abc: 4.4376 4.4376 4.1301
angles: 90.00 90.00 90.00
Sites, in units of the cell vectors:
Mg  0.0000  0.0000  0.0000
Zn  0.0000  0.0000  0.5000
Os  0.0000  0.5000  0.0000
Os  0.5000  0.0000  0.0000
W  0.5000  0.5000  0.5000

## Properties
**Fermi-level density of states**: 0.930 states/eV per atom
**Symmetry**: P4/mmm, No. 123
**Energy relative to the elements**: 10.555 eV/f.u.
**Size of the total moment**: 0.4 μB/f.u.
**Raw total energy**: -44.28 eV/atom

=====

Record 9
The following is a DFT calculation (SCAN) of YMgOs at its PBEsol-relaxed geometry.

abc: 4.5272 4.5272 3.3251
angles: 90.00 90.00 120.00
Sites, in units of the cell vectors:
Y  0.0000  0.0000  0.0000
Mg  0.6667  0.3333  0.4861
Os  0.3333  0.6667  0.5273

## Properties
**Fermi-level density of states**: 0.787 states/eV per atom
**Symmetry**: P3m1, No. 156
**Energy relative to the elements**: 0.075 eV/f.u.
**Size of the total moment**: 0.0 μB/f.u.
**Raw total energy**: -34.87 eV/atom

=====

Record 10
The following is a DFT calculation (SCAN) of MgZnOs at its PBEsol-relaxed geometry.

abc: 6.4256 6.4256 6.4256
angles: 155.50 155.50 34.92
Sites, in units of the cell vectors:
Mg  0.0000  0.0000  0.0000
Zn  0.3185  0.3185  0.0000
Os  0.6658  0.6658  0.0000

## Properties
**Fermi-level density of states**: 0.669 states/eV per atom
**Symmetry**: I4mm, No. 107
**Energy relative to the elements**: 0.689 eV/f.u.
**Size of the total moment**: 0.0 μB/f.u.
**Offset from the most stable computed form**: 0.01 eV per formula unit
**Raw total energy**: -29.89 eV/atom

=====

Record 11
The following is a DFT calculation (SCAN) of MgZn2Os at its PBEsol-relaxed geometry.

abc: 2.7247 2.7247 8.7759
angles: 90.00 90.00 113.64
Sites, in units of the cell vectors:
Mg  0.0000  0.0000  0.0000
Zn  0.0000  0.0000  0.4906
Zn  0.5000  0.5000  0.7343
Os  0.5000  0.5000  0.2509

## Properties
**Fermi-level density of states**: 0.564 states/eV per atom
**Symmetry**: Cmm2, No. 35
**Energy relative to the elements**: 0.757 eV/f.u.
**Size of the total moment**: 0.0 μB/f.u.
**Raw total energy**: -25.78 eV/atom

=====

Record 12
The following is a DFT calculation (SCAN) of MgZnOs at its PBEsol-relaxed geometry.

abc: 4.1669 4.1669 4.1669
angles: 60.00 60.00 60.00
Sites, in units of the cell vectors:
Mg  0.0000  0.0000  0.0000
Zn  0.2500  0.2500  0.2500
Os  0.7500  0.7500  0.7500

## Properties
**Fermi-level density of states**: 1.303 states/eV per atom
**Symmetry**: F-43m, No. 216
**Energy relative to the elements**: 3.174 eV/f.u.
**Size of the total moment**: 0.5 μB/f.u.
**Offset from the most stable computed form**: 2.49 eV per formula unit
**Raw total energy**: -29.07 eV/atom